No. 1
# MnAu3S GGA-PBE optimized geometry
# * excess energy over the best structure of this formula in the dataset: 333 meV per atom
# * Fermi-level density of states: 0.91 states/eV/atom
data_MnAu3S
_chemical_formula_sum 'Mn1 Au3 S1'
_symmetry_space_group_name_H-M 'P m -3 m'
_symmetry_Int_Tables_number 221
_symmetry_space_group_name_Hall '-P 4 2 3'
_cell_length_a 4.909
_cell_length_b 4.909
_cell_length_c 4.909
_cell_angle_alpha 90.00
_cell_angle_beta 90.00
_cell_angle_gamma 90.00
loop_
_atom_site_label
_atom_site_fract_x
_atom_site_fract_y
_atom_site_fract_z
Mn1 0.000 0.000 0.000
Au1 0.000 0.000 0.500
S1 0.500 0.500 0.500



No. 2
# MnAuS2 GGA-PBE optimized geometry
# * Fermi-level density of states: 0.51 states/eV/atom
# * E: -21.68 eV for the cell shown
data_MnAuS2
_chemical_formula_sum 'Mn1 Au1 S2'
_symmetry_space_group_name_H-M 'P 3 m 1'
_symmetry_Int_Tables_number 156
_symmetry_space_group_name_Hall 'P 3 -2"'
_cell_length_a 3.2643
_cell_length_b 3.2643
_cell_length_c 7.3747
_cell_angle_alpha 90.00
_cell_angle_beta 90.00
_cell_angle_gamma 120.00
loop_
_atom_site_label
_atom_site_fract_x
_atom_site_fract_y
_atom_site_fract_z
Mn1 0.0000 0.0000 0.0000
Au1 0.3333 0.6667 0.4980
S1 0.3333 0.6667 0.8232
S2 0.6667 0.3333 0.1880



No. 3
# MnAu3S GGA-PBE optimized geometry
# * excess energy over the best structure of this formula in the dataset: 0 meV per atom
# * Fermi-level density of states: 0.86 states/eV/atom
data_MnAu3S
_chemical_formula_sum 'Mn1 Au3 S1'
_symmetry_space_group_name_H-M 'P m -3 m'
_symmetry_Int_Tables_number 221
_symmetry_space_group_name_Hall '-P 4 2 3'
_cell_length_a 4.813
_cell_length_b 4.813
_cell_length_c 4.813
_cell_angle_alpha 90.00
_cell_angle_beta 90.00
_cell_angle_gamma 90.00
loop_
_atom_site_label
_atom_site_fract_x
_atom_site_fract_y
_atom_site_fract_z
Mn1 0.000 0.000 0.000
Au1 0.000 0.500 0.500
S1 0.500 0.500 0.500



- The highest Fermi-level density of states belongs to which entry?
  number 1